Record 1
TbMgCo, optimized geometry, DFT PBE; crystal system = monoclinic; symmetry = C2/m, No. 12; formation energy = 0.069 eV/atom
1.0
3.903 -1.979 0.000
3.903 1.979 0.000
-2.364 0.000 8.911
Tb Mg Co
2 2 2
Cartesian
1.241 0.000 2.173
4.201 0.000 6.738
-1.182 0.000 4.455
3.903 0.000 0.000
-0.878 0.000 8.283
6.320 0.000 0.627

Record 2
Tb12MgCo5, optimized geometry, DFT PBE; crystal system = orthorhombic; symmetry = Immm, No. 71; formation energy = -0.159 eV/atom
1.0
-4.747 4.786 4.931
4.747 -4.786 4.931
4.747 4.786 -4.931
Tb Mg Co
12 1 5
Cartesian
4.747 2.939 -2.928
2.786 1.758 0.000
6.708 1.758 0.000
1.834 4.786 -1.834
2.913 0.000 3.097
0.000 1.847 2.004
4.747 2.939 2.928
1.834 4.786 1.834
2.913 0.000 6.765
-1.961 3.028 4.931
1.961 3.028 4.931
0.000 1.847 7.859
0.000 0.000 4.931
0.000 0.000 0.000
4.747 0.000 1.109
0.000 3.629 0.000
0.000 5.943 0.000
0.000 4.786 3.822

Record 3
Tb6MgCo2, optimized geometry, DFT PBE; crystal system = monoclinic; symmetry = C2/m, No. 12; formation energy = -0.013 eV/atom
1.0
5.269 -2.424 0.000
5.269 2.424 0.000
-2.320 0.000 9.002
Tb Mg Co
6 1 2
Cartesian
-0.492 0.000 3.133
1.444 0.000 5.931
3.229 0.000 1.164
4.990 0.000 7.838
6.774 0.000 3.071
8.711 0.000 5.869
0.000 0.000 0.000
3.154 0.000 3.786
5.065 0.000 5.216

Record 4
Tb6MgCo2, optimized geometry, DFT PBE; crystal system = orthorhombic; symmetry = Immm, No. 71; formation energy = -0.137 eV/atom
1.0
-4.691 4.855 5.028
4.691 -4.855 5.028
4.691 4.855 -5.028
Tb Mg Co
12 2 4
Cartesian
4.691 2.870 -2.660
2.670 1.778 0.000
6.712 1.778 0.000
1.745 4.855 -1.808
2.946 0.000 3.220
0.000 1.985 2.368
4.691 2.870 2.660
1.745 4.855 1.808
2.946 0.000 6.836
-2.021 3.077 5.028
2.021 3.077 5.028
0.000 1.985 7.688
0.000 0.000 0.000
0.000 0.000 5.028
4.691 0.000 1.138
0.000 3.185 0.000
0.000 6.524 0.000
0.000 4.855 3.890

Record 5
Tb11Mg9Co4, optimized geometry, DFT PBE; crystal system = orthorhombic; symmetry = Cmmm, No. 65; formation energy = -0.129 eV/atom
1.0
7.236 -10.982 0.000
7.236 10.982 0.000
0.000 0.000 3.665
Tb Mg Co
11 9 4
Cartesian
0.000 0.000 0.000
3.689 3.596 0.000
7.236 7.541 0.000
4.523 0.000 0.000
7.236 2.778 0.000
3.689 -3.596 0.000
10.783 3.596 0.000
7.236 -2.778 0.000
9.950 0.000 0.000
7.236 -7.541 0.000
10.783 -3.596 0.000
2.148 1.555 1.832
5.702 5.276 1.832
2.148 -1.555 1.832
8.771 5.276 1.832
7.236 0.000 1.832
5.702 -5.276 1.832
12.325 1.555 1.832
8.771 -5.276 1.832
12.325 -1.555 1.832
5.132 2.170 1.832
5.132 -2.170 1.832
9.341 2.170 1.832
9.341 -2.170 1.832

Record 6
Tb2MgCo, optimized geometry, DFT PBE; crystal system = trigonal; symmetry = R3m, No. 160; formation energy = -0.015 eV/atom
1.0
1.904 1.099 8.443
-1.904 1.099 8.443
0.000 -2.199 8.443
Tb Mg Co
2 1 1
Cartesian
0.000 0.000 0.000
0.000 0.000 5.451
0.000 0.000 11.184
0.000 0.000 15.374

Record 7
TbMgCo2, optimized geometry, DFT PBE; crystal system = tetragonal; symmetry = P4/mmm, No. 123; formation energy = 0.061 eV/atom
1.0
4.446 0.000 0.000
0.000 4.446 0.000
0.000 0.000 3.280
Tb Mg Co
1 1 2
Cartesian
0.000 0.000 0.000
2.223 2.223 0.000
0.000 2.223 1.640
2.223 0.000 1.640

Record 8
Tb2MgCo, optimized geometry, DFT PBE; crystal system = tetragonal; symmetry = P4/mmm, No. 123; formation energy = 0.022 eV/atom
1.0
4.991 0.000 0.000
0.000 4.991 0.000
0.000 0.000 3.648
Tb Mg Co
2 1 1
Cartesian
0.000 2.496 0.000
2.496 0.000 0.000
0.000 0.000 1.824
2.496 2.496 1.824

Record 9
TbMgCo, optimized geometry, DFT PBE; crystal system = monoclinic; symmetry = C2/m, No. 12; formation energy = -0.129 eV/atom
1.0
6.556 -1.891 0.000
6.556 1.891 0.000
-1.060 0.000 5.184
Tb Mg Co
2 2 2
Cartesian
1.548 0.000 1.713
10.503 0.000 3.471
5.259 0.000 1.068
6.793 0.000 4.116
2.160 0.000 4.548
9.891 0.000 0.636

Record 10
Tb4MgCo2, optimized geometry, DFT PBE; crystal system = triclinic; symmetry = P1, No. 1; formation energy = -0.035 eV/atom
1.0
7.046 0.000 0.000
-0.402 7.058 0.000
-1.719 -1.895 6.958
Tb Mg Co
8 2 4
Cartesian
0.000 0.000 0.000
-1.316 2.769 4.616
2.431 4.665 2.207
2.217 -1.029 5.507
2.324 2.561 5.250
3.808 0.995 2.181
5.869 3.680 0.905
6.091 -0.904 3.547
0.752 1.623 2.581
-0.070 0.908 6.709
0.353 3.744 6.712
4.228 6.015 0.693
3.821 4.652 4.510
4.486 0.458 5.350

Record 11
TbTmMgCo, optimized geometry, DFT PBE; crystal system = tetragonal; symmetry = P4mm, No. 99; formation energy = -0.150 eV/atom
1.0
3.380 0.000 0.000
0.000 3.380 0.000
0.000 0.000 8.052
Tb Tm Mg Co
1 1 1 1
Cartesian
0.000 0.000 0.000
0.000 0.000 4.824
1.690 1.690 2.448
1.690 1.690 6.388

Record 12
TbTmMgCo, optimized geometry, DFT PBE; crystal system = cubic; symmetry = F-43m, No. 216; formation energy = -0.017 eV/atom
1.0
0.000 3.532 3.532
3.532 0.000 3.532
3.532 3.532 0.000
Tb Tm Mg Co
1 1 1 1
Cartesian
0.000 0.000 0.000
3.532 3.532 3.532
1.766 1.766 1.766
5.298 5.298 5.298

Number 1: Fermi-level density of states 1.0114 states/eV per atom, calculated total energy -4.374 eV/atom. Number 2: Fermi-level density of states 0.9821 states/eV per atom, calculated total energy -5.309 eV/atom. Number 3: Fermi-level density of states 1.3105 states/eV per atom, calculated total energy -4.856 eV/atom. Number 4: Fermi-level density of states 1.1294 states/eV per atom, calculated total energy -4.980 eV/atom. Number 5: Fermi-level density of states 0.9401 states/eV per atom, calculated total energy -4.034 eV/atom. Number 6: Fermi-level density of states 0.7088 states/eV per atom, calculated total energy -4.505 eV/atom. Number 7: Fermi-level density of states 0.9105 states/eV per atom, calculated total energy -5.048 eV/atom. Number 8: Fermi-level density of states 0.8905 states/eV per atom, calculated total energy -4.468 eV/atom. Number 9: Fermi-level density of states 0.7105 states/eV per atom, calculated total energy -4.573 eV/atom. Number 10: Fermi-level density of states 0.9349 states/eV per atom, calculated total energy -4.939 eV/atom. Number 11: Fermi-level density of states 0.8379 states/eV per atom, calculated total energy -4.600 eV/atom. Number 12: Fermi-level density of states 0.5758 states/eV per atom, calculated total energy -4.467 eV/atom.